A relaxed structure of LaSn2Cl8, computed with GGA-PBE.

Computed properties:
N(E_F)	0.58	states/eV per atom
energy above the most stable polymorph in this dataset	0	meV/atom
magnetization	0.00	μB per atom
E_form (uncorrected)	-15.0	eV per formula unit
raw total energy	-85.4	eV per cell

Geometry as CIF:
```
data_LaSn2Cl8
_chemical_formula_sum 'La2 Sn4 Cl16'
_space_group_name_H-M_alt 'C 1 2/m 1'
_space_group_IT_number 12
_space_group_name_Hall '-C 2y'
_cell_length_a 11.1764
_cell_length_b 9.9844
_cell_length_c 6.9593
_cell_angle_alpha 90.00
_cell_angle_beta 104.99
_cell_angle_gamma 90.00
loop_
_atom_site_label
_atom_site_type_symbol
_atom_site_fract_x
_atom_site_fract_y
_atom_site_fract_z
La1 La 0.0000 0.0000 0.0000
Sn1 Sn 0.1934 0.5000 0.5072
Cl1 Cl 0.0474 0.5000 0.7485
Cl2 Cl 0.1562 0.1803 0.2672
Cl3 Cl 0.1619 0.0000 0.7662
```

***

A relaxed structure of LaSn3Cl, computed with GGA-PBE.

Computed properties:
N(E_F)	2.07	states/eV per atom
energy above the most stable polymorph in this dataset	657	meV/atom
magnetization	0.00	μB per atom
E_form (uncorrected)	2.8	eV per formula unit
raw total energy	-16.0	eV per cell

Geometry as CIF:
```
data_LaSn3Cl
_chemical_formula_sum 'La1 Sn3 Cl1'
_space_group_name_H-M_alt 'P m -3 m'
_space_group_IT_number 221
_space_group_name_Hall '-P 4 2 3'
_cell_length_a 6.1215
_cell_length_b 6.1215
_cell_length_c 6.1215
_cell_angle_alpha 90.00
_cell_angle_beta 90.00
_cell_angle_gamma 90.00
loop_
_atom_site_label
_atom_site_type_symbol
_atom_site_fract_x
_atom_site_fract_y
_atom_site_fract_z
La1 La 0.0000 0.0000 0.0000
Sn1 Sn 0.0000 0.0000 0.5000
Cl1 Cl 0.5000 0.5000 0.5000
```

***

A relaxed structure of La5Sn3Cl, computed with GGA-PBE.

Computed properties:
N(E_F)	1.01	states/eV per atom
magnetization	0.00	μB per atom
E_form (uncorrected)	-9.4	eV per formula unit
raw total energy	-95.8	eV per cell

Geometry as CIF:
```
data_La5Sn3Cl
_chemical_formula_sum 'La10 Sn6 Cl2'
_space_group_name_H-M_alt 'P 63/m c m'
_space_group_IT_number 193
_space_group_name_Hall '-P 6c 2'
_cell_length_a 9.6680
_cell_length_b 9.6680
_cell_length_c 6.9122
_cell_angle_alpha 90.00
_cell_angle_beta 90.00
_cell_angle_gamma 120.00
loop_
_atom_site_label
_atom_site_type_symbol
_atom_site_fract_x
_atom_site_fract_y
_atom_site_fract_z
La1 La 0.0000 0.2608 0.2500
La2 La 0.3333 0.6667 0.0000
Sn1 Sn 0.0000 0.3872 0.7500
Cl1 Cl 0.0000 0.0000 0.0000
```

***

A relaxed structure of LaSn3Cl, computed with GGA-PBE.

Computed properties:
N(E_F)	0.91	states/eV per atom
energy above the most stable polymorph in this dataset	0	meV/atom
magnetization	0.00	μB per atom
E_form (uncorrected)	-0.5	eV per formula unit
raw total energy	-19.3	eV per cell

Geometry as CIF:
```
data_LaSn3Cl
_chemical_formula_sum 'La1 Sn3 Cl1'
_space_group_name_H-M_alt 'P m -3 m'
_space_group_IT_number 221
_space_group_name_Hall '-P 4 2 3'
_cell_length_a 5.3606
_cell_length_b 5.3606
_cell_length_c 5.3606
_cell_angle_alpha 90.00
_cell_angle_beta 90.00
_cell_angle_gamma 90.00
loop_
_atom_site_label
_atom_site_type_symbol
_atom_site_fract_x
_atom_site_fract_y
_atom_site_fract_z
La1 La 0.0000 0.0000 0.0000
Sn1 Sn 0.0000 0.5000 0.5000
Cl1 Cl 0.5000 0.5000 0.5000
```

***

Q: N(E_F) of number 3 (La5Sn3Cl)?
A: 1.01 states/eV per atom

***

Q: Number 4 is which compound?
A: LaSn3Cl

***

Q: E_form (uncorrected) of number 3 (La5Sn3Cl)?
A: -9.4 eV per formula unit